4
Lattice="1.9804 1.1434 7.1613 -1.9804 1.1434 7.1613 0.0000 -2.2867 7.1613" Properties=species:S:1:pos:R:3 comment="Sm2CoSe GGA-PBE relaxed" de_polymorph_ev_per_atom=0.1223 dos_ef_per_ev_atom=0.558 total_magnetization_mub_per_cell=0.000 spacegroup="No. 166" raw_formation_energy_ev_per_atom=-0.82 energy_ev_per_atom=-5.83 pbc="T T T"
Sm 0.0000 0.0000 5.1981
Sm 0.0000 0.0000 16.2857
Co 0.0000 0.0000 10.7419
Se 0.0000 0.0000 0.0000